# 1
First-principles (GGA-PBE) data for an optimized crystal structure of PrGeAu, as listed in the Open Quantum Materials Database.

Properties
space group	P6_3mc (186)
E	-5.05	eV/atom

a b c (Å): 4.537 4.537 7.821
angles (deg): 90.00 90.00 120.00
Element x y z (fractional)
Pr  0.000  0.000  0.000
Pr  0.000  0.000  0.500
Ge  0.333  0.667  0.215
Ge  0.667  0.333  0.715
Au  0.333  0.667  0.775
Au  0.667  0.333  0.275

# 2
First-principles (GGA-PBE) data for an optimized crystal structure of PrGe2PtAu, as listed in the Open Quantum Materials Database.

Properties
space group	P4/nmm (129)
polymorph energy (0 for the lowest one)	0.092	eV per atom

a b c (Å): 4.413 4.413 10.527
angles (deg): 90.00 90.00 90.00
Element x y z (fractional)
Pr  0.250  0.250  0.238
Pr  0.750  0.750  0.762
Ge  0.250  0.250  0.879
Ge  0.250  0.750  0.500
Ge  0.750  0.250  0.500
Ge  0.750  0.750  0.121
Pt  0.250  0.750  0.000
Pt  0.750  0.250  0.000
Au  0.250  0.250  0.639
Au  0.750  0.750  0.361

# 3
First-principles (GGA-PBE) data for an optimized crystal structure of PrGe2PtAu, as listed in the Open Quantum Materials Database.

Properties
space group	P4/nmm (129)
polymorph energy (0 for the lowest one)	0.000	eV per atom

a b c (Å): 4.436 4.436 10.320
angles (deg): 90.00 90.00 90.00
Element x y z (fractional)
Pr  0.250  0.250  0.245
Pr  0.750  0.750  0.755
Ge  0.250  0.250  0.644
Ge  0.250  0.750  0.000
Ge  0.750  0.250  0.000
Ge  0.750  0.750  0.356
Pt  0.250  0.250  0.882
Pt  0.750  0.750  0.118
Au  0.250  0.750  0.500
Au  0.750  0.250  0.500

# 4
First-principles (GGA-PBE) data for an optimized crystal structure of PrGeAuSeS2, as listed in the Open Quantum Materials Database.

Properties
space group	Cmcm (63)
E	-4.82	eV/atom

a b c (Å): 6.694 6.694 11.246
angles (deg): 90.00 90.00 144.98
Element x y z (fractional)
Pr  0.000  0.000  0.000
Pr  0.000  0.000  0.500
Ge  0.246  0.754  0.750
Ge  0.754  0.246  0.250
Au  0.436  0.564  0.250
Au  0.564  0.436  0.750
Se  0.108  0.892  0.250
Se  0.892  0.108  0.750
S  0.353  0.647  0.060
S  0.353  0.647  0.440
S  0.647  0.353  0.560
S  0.647  0.353  0.940

# 5
First-principles (GGA-PBE) data for an optimized crystal structure of PrGeAuSe2S, as listed in the Open Quantum Materials Database.

Properties
space group	Cmcm (63)
E	-4.69	eV/atom

a b c (Å): 6.995 6.995 10.658
angles (deg): 90.00 90.00 146.71
Element x y z (fractional)
Pr  0.000  0.000  0.000
Pr  0.000  0.000  0.500
Ge  0.234  0.766  0.750
Ge  0.766  0.234  0.250
Au  0.478  0.522  0.250
Au  0.522  0.478  0.750
Se  0.342  0.658  0.073
Se  0.342  0.658  0.427
Se  0.658  0.342  0.573
Se  0.658  0.342  0.927
S  0.099  0.901  0.250
S  0.901  0.099  0.750

# 6
First-principles (GGA-PBE) data for an optimized crystal structure of PrGeTe2AuS, as listed in the Open Quantum Materials Database.

Properties
space group	Cmcm (63)
E	-4.44	eV/atom

a b c (Å): 7.690 7.690 10.506
angles (deg): 90.00 90.00 148.30
Element x y z (fractional)
Pr  0.000  0.000  0.000
Pr  0.000  0.000  0.500
Ge  0.231  0.769  0.750
Ge  0.769  0.231  0.250
Te  0.340  0.660  0.068
Te  0.340  0.660  0.432
Te  0.660  0.340  0.568
Te  0.660  0.340  0.932
Au  0.482  0.518  0.250
Au  0.518  0.482  0.750
S  0.081  0.919  0.250
S  0.919  0.081  0.750

# 7
First-principles (GGA-PBE) data for an optimized crystal structure of PrGeTeAuS2, as listed in the Open Quantum Materials Database.

Properties
space group	Cmcm (63)
E	-4.71	eV/atom

a b c (Å): 7.006 7.006 11.316
angles (deg): 90.00 90.00 146.76
Element x y z (fractional)
Pr  0.000  0.000  0.000
Pr  0.000  0.000  0.500
Ge  0.193  0.807  0.750
Ge  0.807  0.193  0.250
Te  0.125  0.875  0.250
Te  0.875  0.125  0.750
Au  0.478  0.522  0.250
Au  0.522  0.478  0.750
S  0.360  0.640  0.075
S  0.360  0.640  0.425
S  0.640  0.360  0.575
S  0.640  0.360  0.925

# 8
First-principles (GGA-PBE) data for an optimized crystal structure of PrScGe2Au2, as listed in the Open Quantum Materials Database.

Properties
space group	P3m1 (156)
E	-5.27	eV/atom

a b c (Å): 4.453 4.453 7.380
angles (deg): 90.00 90.00 120.00
Element x y z (fractional)
Pr  0.000  0.000  0.000
Sc  0.000  0.000  0.496
Ge  0.333  0.667  0.227
Ge  0.667  0.333  0.692
Au  0.333  0.667  0.744
Au  0.667  0.333  0.318